# 1
VASP calculation (PBE) on an optimized crystal structure of Mn3Cu3Se8.

Calculated values
formation energy without anion corrections = -339 meV per atom
space group = R-3m (166)
volume = 280 Å³/cell

a b c (Å): 7.3859 7.3859 7.3859
angles (deg): 59.28 59.28 59.28
With the nearest neighbours (Å) after each atom.
Atoms (fractional coordinates):
Se: 0.2432 0.2432 0.7778  2 Cu 2.39-2.53, 2 Mn 2.49
Se: 0.2222 0.7568 0.7568  2 Cu 2.39-2.53, 2 Mn 2.49
Se: 0.7568 0.7568 0.2222  2 Cu 2.39-2.53, 2 Mn 2.49
Se: 0.7563 0.7563 0.7563  1 Cu 2.44, 3 Mn 2.53
Se: 0.7778 0.2432 0.2432  2 Cu 2.39-2.53, 2 Mn 2.49
Se: 0.2437 0.2437 0.2437  1 Cu 2.44, 3 Mn 2.53
Se: 0.2432 0.7778 0.2432  2 Cu 2.39-2.53, 2 Mn 2.49
Se: 0.7568 0.2222 0.7568  2 Cu 2.39-2.53, 2 Mn 2.49
Cu: 0.0000 0.0000 0.0000  6 Se 2.53
Cu: 0.6220 0.6220 0.6220  4 Se 2.39-2.44
Cu: 0.3780 0.3780 0.3780  4 Se 2.39-2.44
Mn: 0.0000 0.5000 0.0000  6 Se 2.49-2.53
Mn: 0.0000 0.0000 0.5000  6 Se 2.49-2.53
Mn: 0.5000 0.0000 0.0000  6 Se 2.49-2.53

---

# 2
VASP calculation (PBE) on an optimized crystal structure of MnCuSe2.

Calculated values
formation energy without anion corrections = -280 meV per atom
space group = P1 (1)
volume = 175 Å³/cell

a b c (Å): 5.4381 5.6677 5.6640
angles (deg): 89.97 90.01 90.00
With the nearest neighbours (Å) after each atom.
Atoms (fractional coordinates):
Mn: 0.5151 0.7761 0.2573  4 Se 2.36
Mn: 0.0151 0.7765 0.2574  4 Se 2.36
Se: 0.7649 0.0165 0.0153  2 Mn 2.36, 2 Cu 2.42
Se: 0.2655 0.0171 0.4984  2 Mn 2.36, 2 Cu 2.42
Se: 0.7653 0.5350 0.4983  2 Mn 2.36, 2 Cu 2.42
Se: 0.2649 0.5344 0.0172  2 Mn 2.36, 2 Cu 2.42
Cu: 0.5167 0.2752 0.2572  4 Se 2.42
Cu: 0.5143 0.7744 0.7573  4 Se 2.42

---

# 3
VASP calculation (PBE) on an optimized crystal structure of Mn2CuSe.

Calculated values
formation energy without anion corrections = 215 meV per atom
space group = C2/m (12)
volume = 66 Å³/cell

a b c (Å): 3.9368 3.9368 5.8237
angles (deg): 76.63 76.63 49.53
With the nearest neighbours (Å) after each atom.
Atoms (fractional coordinates):
Mn: 0.0021 0.0021 0.0257  3 Cu 2.45-2.54, 3 Se 2.64-2.70
Mn: 0.4979 0.4979 0.4743  3 Cu 2.45-2.54, 3 Se 2.64-2.70
Cu: 0.2500 0.2500 0.2500  6 Mn 2.45-2.54
Se: 0.7500 0.7500 0.7500  6 Mn 2.64-2.70